[1]
Compound: KIrPt2
Source: the Alexandria database
Functional: GGA-PBE
Structure: relaxed

Output
As for the energy above the most stable polymorph in this dataset: 489.7 meV/atom. The energy of formation comes out at 716 meV per atom.

a = 4.0138 Å, b = 4.1825 Å, c = 4.1825 Å
α = 90.00°, β = 90.00°, γ = 90.00°
With the nearest neighbours (Å) after each atom.
Fractional coordinates of all 4 atoms:
Ir: 0.5000 0.5000 0.0000  8 Pt 2.90, 4 K 2.96
Pt: 0.0000 0.5000 0.5000  4 K 2.90, 4 Ir 2.90, 4 Pt 2.96
Pt: 0.0000 0.0000 0.0000  4 K 2.90, 4 Ir 2.90, 4 Pt 2.96
K: 0.5000 0.0000 0.5000  8 Pt 2.90, 4 Ir 2.96


[2]
Compound: KIrPt2
Source: the Alexandria database
Functional: GGA-PBE
Structure: relaxed

Output
As for the energy above the most stable polymorph in this dataset: 434.8 meV/atom. The energy of formation comes out at 661 meV per atom.

a = 2.6724 Å, b = 5.2523 Å, c = 5.1254 Å
α = 90.00°, β = 90.00°, γ = 90.00°
With the nearest neighbours (Å) after each atom.
Fractional coordinates of all 4 atoms:
Pt: 0.5000 0.5000 0.0000  6 Pt 2.67-2.95, 4 K 2.89
Ir: 0.5000 0.0000 0.5000  2 Ir 2.67, 4 Pt 2.89, 4 K 2.95
K: 0.0000 0.5000 0.5000  2 K 2.67, 4 Pt 2.89, 4 Ir 2.95
Pt: 0.0000 0.0000 0.0000  6 Pt 2.67-2.95, 4 Ir 2.89


[3]
Compound: KIrPt2
Source: the Alexandria database
Functional: GGA-PBE
Structure: relaxed

Output
As for the energy above the most stable polymorph in this dataset: 183.1 meV/atom. The energy of formation comes out at 409 meV per atom.

a = 5.1365 Å, b = 6.5729 Å, c = 2.7476 Å
α = 65.29°, β = 90.00°, γ = 121.87°
With the nearest neighbours (Å) after each atom.
Fractional coordinates of all 4 atoms:
K: 0.5000 0.0000 0.5000  2 K 2.75, 8 Pt 2.91, 2 Ir 2.99
Pt: 0.0000 0.5000 0.5000  4 Pt 2.75-2.99, 4 Ir 2.91, 4 K 2.91
Ir: 0.5000 0.5000 0.0000  2 Ir 2.75, 8 Pt 2.91, 2 K 2.99
Pt: 0.0000 0.0000 0.0000  4 Pt 2.75-2.99, 4 K 2.91, 4 Ir 2.91


[4]
Compound: KIrPt2
Source: the Alexandria database
Functional: GGA-PBE
Structure: relaxed

Output
As for the energy above the most stable polymorph in this dataset: 172.8 meV/atom. The energy of formation comes out at 399 meV per atom.

a = 6.0877 Å, b = 6.0877 Å, c = 6.0877 Å
α = 154.17°, β = 130.99°, γ = 56.22°
With the nearest neighbours (Å) after each atom.
Fractional coordinates of all 4 atoms:
Ir: 0.5316 0.5316 0.0000  6 Pt 2.67-2.94, 2 Ir 2.72
K: 0.2510 0.7510 0.5000  2 K 2.72, 4 Pt 2.87
Pt: 0.9723 0.9723 0.0000  4 Pt 2.72-2.79, 4 Ir 2.94
Pt: 0.7451 0.2451 0.5000  2 Ir 2.67, 4 Pt 2.72-2.79, 4 K 2.87


[5]
Compound: KIrPt2
Source: the Alexandria database
Functional: GGA-PBE
Structure: relaxed

Output
As for the energy above the most stable polymorph in this dataset: 289.8 meV/atom. The energy of formation comes out at 516 meV per atom.

a = 2.7098 Å, b = 5.4162 Å, c = 5.8109 Å
α = 54.67°, β = 90.00°, γ = 90.00°
With the nearest neighbours (Å) after each atom.
Fractional coordinates of all 4 atoms:
Pt: 0.0000 0.0000 0.0000  6 Pt 2.71-3.03, 2 K 2.91, 4 Ir 2.92
Pt: 0.5000 0.5000 0.0000  6 Pt 2.71-3.03, 2 Ir 2.91, 4 K 2.92
K: 0.0000 0.0000 0.5000  2 K 2.71, 6 Pt 2.91-2.92, 4 Ir 3.03
Ir: 0.5000 0.5000 0.5000  2 Ir 2.71, 6 Pt 2.91-2.92, 4 K 3.03


[6]
Compound: KIrPt2
Source: the Alexandria database
Functional: GGA-PBE
Structure: relaxed

Output
As for the energy above the most stable polymorph in this dataset: 202.5 meV/atom. The energy of formation comes out at 429 meV per atom.

a = 5.3172 Å, b = 5.3172 Å, c = 9.0445 Å
α = 72.91°, β = 72.91°, γ = 90.00°
With the nearest neighbours (Å) after each atom.
Fractional coordinates of all 8 atoms:
K: 0.5000 0.5000 0.0000  8 Pt 3.51-3.73, 4 Ir 3.76
Pt: 0.3750 0.1531 0.7500  2 Ir 2.45, 2 Pt 2.68
Ir: 0.7500 0.2500 0.5000  4 Pt 2.45
Pt: 0.8750 0.0969 0.7500  2 Ir 2.45, 2 Pt 2.68
Pt: 0.8469 0.1250 0.2500  2 Ir 2.45, 2 Pt 2.68
Ir: 0.0000 0.0000 0.0000  4 Pt 2.45
K: 0.2500 0.7500 0.5000  8 Pt 3.51-3.73, 4 Ir 3.76
Pt: 0.9031 0.6250 0.2500  2 Ir 2.45, 2 Pt 2.68


[7]
Compound: KIrPt2
Source: the Alexandria database
Functional: GGA-PBE
Structure: relaxed

Output
As for the energy above the most stable polymorph in this dataset: 166.7 meV/atom. The energy of formation comes out at 393 meV per atom.

a = 2.7324 Å, b = 4.0795 Å, c = 7.4071 Å
α = 90.00°, β = 90.00°, γ = 90.00°
With the nearest neighbours (Å) after each atom.
Fractional coordinates of all 4 atoms:
K: 0.5000 0.5000 0.7513  2 K 2.73
Pt: 0.0000 0.0000 0.0613  1 Ir 2.61, 6 Pt 2.73-2.91
Pt: 0.5000 0.5000 0.2735  4 Ir 2.67, 6 Pt 2.73-2.91
Ir: 0.0000 0.0000 0.4140  5 Pt 2.61-2.67, 2 Ir 2.73


[8]
Compound: KIrPt2
Source: the Alexandria database
Functional: GGA-PBE
Structure: relaxed

Output
As for the energy above the most stable polymorph in this dataset: 79.3 meV/atom. The energy of formation comes out at 306 meV per atom.

a = 4.4202 Å, b = 2.7273 Å, c = 7.0483 Å
α = 79.49°, β = 90.00°, γ = 90.00°
With the nearest neighbours (Å) after each atom.
Fractional coordinates of all 4 atoms:
Pt: 0.0000 0.1565 0.0569  2 Ir 2.69, 4 Pt 2.73-2.75
Pt: 0.5000 0.0469 0.2923  4 Ir 2.69, 4 Pt 2.73-2.75
Ir: 0.0000 0.4992 0.3918  6 Pt 2.69, 2 Ir 2.73
K: 0.5000 0.7974 0.7590  2 K 2.73


[9]
Compound: KIrPt
Source: the Alexandria database
Functional: GGA-PBE
Structure: relaxed

Output
As for the energy above the most stable polymorph in this dataset: 0.0 meV/atom. The energy of formation comes out at 165 meV per atom.

a = 6.3347 Å, b = 6.3347 Å, c = 6.3347 Å
α = 155.17°, β = 140.02°, γ = 47.63°
With the nearest neighbours (Å) after each atom.
Fractional coordinates of all 3 atoms:
K: 0.3336 0.3336 0.0000  2 K 2.72
Ir: 0.0597 0.0597 0.0000  4 Pt 2.62, 2 Ir 2.72
Pt: 0.6068 0.6068 0.0000  4 Ir 2.62, 2 Pt 2.72


[10]
Compound: KIr3Pt
Source: the Alexandria database
Functional: GGA-PBE
Structure: relaxed

Output
As for the energy above the most stable polymorph in this dataset: 0.0 meV/atom. The energy of formation comes out at 1617 meV per atom.

a = 4.9287 Å, b = 4.9287 Å, c = 4.9287 Å
α = 90.00°, β = 90.00°, γ = 90.00°
With the nearest neighbours (Å) after each atom.
Fractional coordinates of all 5 atoms:
Ir: 0.5000 0.0000 0.0000  2 Pt 2.46
K: 0.5000 0.5000 0.5000  12 Ir 3.49
Ir: 0.0000 0.5000 0.0000  2 Pt 2.46
Pt: 0.0000 0.0000 0.0000  6 Ir 2.46
Ir: 0.0000 0.0000 0.5000  2 Pt 2.46


[11]
Compound: K2ReIrPt
Source: the Alexandria database
Functional: GGA-PBE
Structure: relaxed

Output
The energy of formation comes out at 1967 meV per atom.

a = 6.4518 Å, b = 4.7452 Å, c = 6.4518 Å
α = 90.00°, β = 90.00°, γ = 90.00°
With the nearest neighbours (Å) after each atom.
Fractional coordinates of all 5 atoms:
Pt: 0.0000 0.5000 0.0000  2 Re 2.37
K: 0.5000 0.0000 0.0000  2 Re 3.23
K: 0.0000 0.0000 0.5000  2 Re 3.23
Ir: 0.5000 0.5000 0.5000  8 K 4.00
Re: 0.0000 0.0000 0.0000  2 Pt 2.37


[12]
Compound: K4Ir3PtSe8
Source: the Alexandria database
Functional: GGA-PBE
Structure: relaxed

Output
For the uncorrected formation energy, the calculation gives -9.75 eV/f.u.

a = 7.8727 Å, b = 8.4390 Å, c = 7.8738 Å
α = 117.81°, β = 120.00°, γ = 90.00°
With the nearest neighbours (Å) after each atom.
Fractional coordinates of all 16 atoms:
K: 0.0000 0.0000 0.0000  6 Se 3.28-3.30
Se: 0.7144 0.6673 0.9408  2 Ir 2.54, 1 Pt 2.61
Ir: 0.5000 0.5000 0.5000  6 Se 2.54-2.56
Se: 0.7736 0.3327 0.0592  2 Ir 2.54, 1 Pt 2.61
K: 0.5000 0.0000 0.5000  6 Se 3.28-3.30
Se: 0.2264 0.6673 0.9408  2 Ir 2.54, 1 Pt 2.61
Se: 0.7734 0.3326 0.5468  2 Ir 2.54, 1 Pt 2.62
Se: 0.2856 0.3327 0.0592  2 Ir 2.54, 1 Pt 2.61
Pt: 0.0000 0.5000 0.0000  6 Se 2.61-2.62
Se: 0.2777 0.3330 0.5553  3 Ir 2.56
K: 0.0000 0.0000 0.5000  6 Se 3.28-3.30
Ir: 0.5000 0.5000 0.0000  6 Se 2.54-2.56
Ir: 0.0000 0.5000 0.5000  6 Se 2.54-2.56
Se: 0.7223 0.6670 0.4447  3 Ir 2.56
K: 0.5000 0.0000 0.0000  6 Se 3.24
Se: 0.2266 0.6674 0.4532  2 Ir 2.54, 1 Pt 2.62


[13]
Compound: KTeIr2Pt
Source: the Alexandria database
Functional: GGA-PBE
Structure: relaxed

Output
For the uncorrected formation energy, the calculation gives 7.66 eV/f.u.

a = 4.8665 Å, b = 5.8485 Å, c = 4.8665 Å
α = 90.00°, β = 90.00°, γ = 90.00°
With the nearest neighbours (Å) after each atom.
Fractional coordinates of all 5 atoms:
Te: 0.0000 0.0000 0.0000  4 Ir 2.43
K: 0.0000 0.5000 0.0000  2 Te 2.92
Pt: 0.5000 0.5000 0.5000  4 K 3.44, 8 Ir 3.80
Ir: 0.5000 0.0000 0.0000  2 Te 2.43
Ir: 0.0000 0.0000 0.5000  2 Te 2.43


[14]
Compound: KTe2IrPt
Source: the Alexandria database
Functional: GGA-PBE
Structure: relaxed

Output
For the uncorrected formation energy, the calculation gives 3.65 eV/f.u.

a = 5.1218 Å, b = 5.7072 Å, c = 5.1218 Å
α = 90.00°, β = 90.00°, γ = 90.00°
With the nearest neighbours (Å) after each atom.
Fractional coordinates of all 5 atoms:
Ir: 0.0000 0.0000 0.0000  4 Te 2.56, 2 K 2.85
Te: 0.5000 0.0000 0.0000  2 Ir 2.56
Te: 0.0000 0.0000 0.5000  2 Ir 2.56
K: 0.0000 0.5000 0.0000  2 Ir 2.85
Pt: 0.5000 0.5000 0.5000  4 K 3.62, 8 Te 3.83


Taking the records one at a time from the top gives calculated total energy values of -19.2 -19.4 -20.4 -20.4 -20.0 -40.7 -20.5 -20.8 -15.5 -25.6 -19.7 -74.6 -20.3 -18.6 eV for the cell shown.